Record 1
An optimized crystal structure of LiErAl2, computed with PBE-GGA.

Lattice parameters (Å, degrees): 3.338 3.338 6.935 90.00 90.00 90.00
Each line ends with the local moment (μB).
Positions (direct):
Li1 0.500 0.500 0.000  0.00
Er1 0.500 0.500 0.500  0.15
Al1 0.000 0.000 0.796  0.00
Al2 0.000 0.000 0.204  0.00

SG: P4/mmm (123)
Energy of formation from the pure elements, eV/atom: -0.262


Record 2
An optimized crystal structure of LiErAl2, computed with PBE-GGA.

Lattice parameters (Å, degrees): 4.121 4.407 4.407 90.00 90.00 90.00
Positions (direct):
Li1 0.500 0.000 0.000
Al1 0.000 0.500 0.000
Al2 0.000 0.000 0.500
Er1 0.500 0.500 0.500

SG: P4/mmm (123)
Energy of formation from the pure elements, eV/atom: -0.252


Record 3
An optimized crystal structure of LiEr12Al6, computed with PBE-GGA.

Lattice parameters (Å, degrees): 8.587 8.587 8.587 107.41 107.41 107.41
Positions (direct):
Er1 0.887 0.332 0.030
Er2 0.662 0.573 0.920
Er3 0.030 0.887 0.332
Er4 0.573 0.920 0.662
Er5 0.332 0.030 0.887
Er6 0.113 0.668 0.970
Er7 0.920 0.662 0.573
Er8 0.668 0.970 0.113
Er9 0.970 0.113 0.668
Er10 0.080 0.338 0.427
Er11 0.427 0.080 0.338
Er12 0.338 0.427 0.080
Al1 0.656 0.771 0.345
Al2 0.229 0.655 0.344
Al3 0.345 0.656 0.771
Al4 0.344 0.229 0.655
Al5 0.655 0.344 0.229
Al6 0.771 0.345 0.656
Li1 0.000 0.000 0.000

SG: R-3 (148)
Energy of formation from the pure elements, eV/atom: 0.016


Record 4
An optimized crystal structure of LiErAl2, computed with PBE-GGA.

Lattice parameters (Å, degrees): 4.533 5.885 5.818 149.08 90.00 90.00
Positions (direct):
Al1 0.000 0.150 0.376
Al2 0.000 0.850 0.624
Li1 0.500 0.000 0.000
Er1 0.500 0.500 0.000

SG: P2/m (10)
Energy of formation from the pure elements, eV/atom: -0.154


Q: The lowest energy of formation from the pure elements belongs to which entry?
A: number 1


Copy entry 1 word for word.
An optimized crystal structure of LiErAl2, computed with PBE-GGA.

Lattice parameters (Å, degrees): 3.338 3.338 6.935 90.00 90.00 90.00
Each line ends with the local moment (μB).
Positions (direct):
Li1 0.500 0.500 0.000  0.00
Er1 0.500 0.500 0.500  0.15
Al1 0.000 0.000 0.796  0.00
Al2 0.000 0.000 0.204  0.00

SG: P4/mmm (123)
Energy of formation from the pure elements, eV/atom: -0.262


Q: Which formula does entry 4 have?
A: LiErAl2


Q: What is the formula in the third record?
A: LiEr12Al6